[1]
This record from Alexandria describes a relaxed structure of Be2AlAs. The functional is PBE.

a = 5.858 Å, b = 5.858 Å, c = 5.870 Å
α = 60.07°, β = 60.07°, γ = 90.00°
Element x y z (fractional)
Be 0.669 0.125 0.250
Be 0.081 0.625 0.250
Be 0.375 0.331 0.750
Be 0.875 0.919 0.750
As 0.000 0.000 0.000
As 0.750 0.250 0.500
Al 0.500 0.500 0.000
Al 0.250 0.750 0.500

DOS(E_F): 0.69 states/eV/f.u.
Distance to the lowest polymorph of the same formula: 0.234 eV per atom
DFT formation energy: 0.45 eV per atom
Total magnetic moment: 0.00 Bohr magnetons per cell
Uncorrected energy: -3.508 eV per atom

[2]
This record from Alexandria describes a relaxed structure of AuCF3. The functional is PBE.

a = 3.899 Å, b = 3.899 Å, c = 3.899 Å
α = 90.00°, β = 90.00°, γ = 90.00°
Element x y z (fractional)
C 0.000 0.000 0.000
Au 0.500 0.500 0.500
F 0.000 0.500 0.000
F 0.000 0.000 0.500
F 0.500 0.000 0.000

DOS(E_F): 0.02 states/eV/f.u.
Distance to the lowest polymorph of the same formula: 0.000 eV per atom
Raw formation energy: 0.3207 eV per atom
Total magnetic moment: 0.00 Bohr magnetons per cell
Uncorrected energy: -3.302 eV per atom

[3]
This record from Alexandria describes a relaxed structure of TlIr2Pt. The functional is PBE.

a = 4.568 Å, b = 4.568 Å, c = 4.568 Å
α = 60.00°, β = 60.00°, γ = 60.00°
Element x y z (fractional)
Ir 0.000 0.000 0.000
Ir 0.750 0.750 0.750
Pt 0.500 0.500 0.500
Tl 0.250 0.250 0.250

DOS(E_F): 5.44 states/eV/f.u.
Distance to the lowest polymorph of the same formula: 0.227 eV per atom
DFT formation energy: 0.55 eV per atom
Total magnetic moment: 0.00 Bohr magnetons per cell
Uncorrected energy: -5.985 eV per atom